(1)
A plane-wave DFT calculation with PBE-GGA was carried out for a geometry-optimized KBePd2 structure.

The structure in CIF format:
```
data_KBePd2
_space_group_name_H-M_alt 'I -4 2 d'
_space_group_IT_number 122
_space_group_name_Hall 'I -4 2bw'
_cell_length_a 5.267
_cell_length_b 5.267
_cell_length_c 14.180
_cell_angle_alpha 90.00
_cell_angle_beta 90.00
_cell_angle_gamma 90.00
loop_
_atom_site_label
_atom_site_type_symbol
_atom_site_fract_x
_atom_site_fract_y
_atom_site_fract_z
_atom_site_occupancy
K1 K 0.000 0.000 0.000 1
Be1 Be 0.000 0.000 0.500 1
Pd1 Pd 0.044 0.750 0.625 1
```

Results
The volume comes out at 393 Å³/cell. For the formation energy, the calculation gives 0.1372 eV per atom.

***

(2)
A plane-wave DFT calculation with PBE-GGA was carried out for a geometry-optimized MgWCl2 structure.

The structure in CIF format:
```
data_MgWCl2
_space_group_name_H-M_alt 'P 1 2/m 1'
_space_group_IT_number 10
_cell_length_a 2.999
_cell_length_b 4.235
_cell_length_c 5.679
_cell_angle_alpha 90.00
_cell_angle_beta 96.73
_cell_angle_gamma 90.00
loop_
_space_group_symop_operation_xyz
'x,y,z'
'-x,-y,-z'
'-x,y,-z'
'x,-y,z'
loop_
_atom_site_label
_atom_site_type_symbol
_atom_site_fract_x
_atom_site_fract_y
_atom_site_fract_z
_atom_site_occupancy
Mg1 Mg 0.000 0.000 0.000 1
W1 W 0.500 0.000 0.500 1
Cl1 Cl 0.396 0.500 0.258 1
```

Results
The value obtained for the uncorrected formation energy is 0.0888 eV per atom. For the relative energy among the computed polymorphs, the calculation gives 0.289 eV per atom. The volume comes out at 72 Å³/cell.

***

(3)
A plane-wave DFT calculation with PBE-GGA was carried out for a geometry-optimized DyGa3Au structure.

The structure in CIF format:
```
data_DyGa3Au
_space_group_name_H-M_alt 'C 1 m 1'
_space_group_IT_number 8
_cell_length_a 5.889
_cell_length_b 5.895
_cell_length_c 6.367
_cell_angle_alpha 90.00
_cell_angle_beta 117.43
_cell_angle_gamma 90.00
loop_
_space_group_symop_operation_xyz
'x,y,z'
'x,-y,z'
'x+1/2,y+1/2,z'
'x+1/2,-y+1/2,z'
loop_
_atom_site_label
_atom_site_type_symbol
_atom_site_fract_x
_atom_site_fract_y
_atom_site_fract_z
_atom_site_occupancy
Dy1 Dy 0.000 0.000 0.000 1
Ga1 Ga 0.097 0.500 0.194 1
Ga2 Ga 0.488 0.250 0.475 1
Au1 Au 0.378 0.000 0.755 1
```

Results
For the relative energy among the computed polymorphs, the calculation gives 0.000 eV per atom. The volume comes out at 196 Å³/cell. For the formation energy, the calculation gives -0.5361 eV per atom.

***

(4)
A plane-wave DFT calculation with PBE-GGA was carried out for a geometry-optimized Cr3TcIr12 structure.

The structure in CIF format:
```
data_Cr3TcIr12
_space_group_name_H-M_alt 'P 4/m m m'
_space_group_IT_number 123
_space_group_name_Hall '-P 4 2'
_cell_length_a 3.837
_cell_length_b 3.837
_cell_length_c 15.366
_cell_angle_alpha 90.00
_cell_angle_beta 90.00
_cell_angle_gamma 90.00
loop_
_atom_site_label
_atom_site_type_symbol
_atom_site_fract_x
_atom_site_fract_y
_atom_site_fract_z
_atom_site_occupancy
Cr1 Cr 0.000 0.000 0.000 1
Cr2 Cr 0.000 0.000 0.245 1
Tc1 Tc 0.000 0.000 0.500 1
Ir1 Ir 0.000 0.500 0.125 1
Ir2 Ir 0.000 0.500 0.374 1
Ir3 Ir 0.500 0.500 0.000 1
Ir4 Ir 0.500 0.500 0.250 1
Ir5 Ir 0.500 0.500 0.500 1
```

Results
The volume comes out at 226 Å³/cell. For the formation energy, the calculation gives -0.1997 eV per atom.

***

(5)
A plane-wave DFT calculation with PBE-GGA was carried out for a geometry-optimized CaPm6Nd6 structure.

The structure in CIF format:
```
data_CaPm6Nd6
_space_group_name_H-M_alt 'P 6/m m m'
_space_group_IT_number 191
_space_group_name_Hall '-P 6 2'
_cell_length_a 6.8666
_cell_length_b 6.8666
_cell_length_c 11.5990
_cell_angle_alpha 90.00
_cell_angle_beta 90.00
_cell_angle_gamma 120.00
loop_
_atom_site_label
_atom_site_type_symbol
_atom_site_fract_x
_atom_site_fract_y
_atom_site_fract_z
_atom_site_occupancy
Ca1 Ca 0.0000 0.0000 0.0000 1
Pm1 Pm 0.0000 0.0000 0.3504 1
Pm2 Pm 0.3333 0.6667 0.0000 1
Pm3 Pm 0.3333 0.6667 0.5000 1
Nd1 Nd 0.0000 0.5000 0.2501 1
```

Results
The volume comes out at 474 Å³/cell. For the formation energy, the calculation gives 0.2478 eV per atom.

***

(6)
A plane-wave DFT calculation with PBE-GGA was carried out for a geometry-optimized ErTcC structure.

The structure in CIF format:
```
data_ErTcC
_space_group_name_H-M_alt 'C 1 m 1'
_space_group_IT_number 8
_cell_length_a 6.033
_cell_length_b 3.482
_cell_length_c 4.930
_cell_angle_alpha 90.00
_cell_angle_beta 114.20
_cell_angle_gamma 90.00
loop_
_space_group_symop_operation_xyz
'x,y,z'
'x,-y,z'
'x+1/2,y+1/2,z'
'x+1/2,-y+1/2,z'
loop_
_atom_site_label
_atom_site_type_symbol
_atom_site_fract_x
_atom_site_fract_y
_atom_site_fract_z
_atom_site_occupancy
Er1 Er 0.000 0.000 0.000 1
Tc1 Tc 0.005 0.500 0.512 1
C1 C 0.198 0.000 0.593 1
```

Results
For the relative energy among the computed polymorphs, the calculation gives 0.000 eV per atom. The volume comes out at 94 Å³/cell. For the formation energy, the calculation gives -0.2172 eV per atom.